Compound: Sr3NbCoO7
Source: the Alexandria database
Functional: PBE+U
Structure: relaxed

Computed properties:
M_tot	0.324	μB/atom
mass density	5.2	g/cm3
total energy	-7.02	eV per atom
energy above the lowest structure with this stoichiometry	0.003	eV/atom

The structure in POSCAR format:
```
Sr3NbCoO7
1.0
7.938 0.000 0.000
-3.963 7.957 0.000
-1.987 -1.987 10.744
Sr Nb Co O
12 4 4 28
Direct
0.000 0.000 0.000
0.029 0.681 0.749
0.147 0.093 0.420
0.248 0.493 0.000
0.278 0.184 0.750
0.404 0.598 0.417
0.493 0.985 0.999
0.527 0.680 0.749
0.662 0.104 0.420
0.748 0.494 0.000
0.779 0.178 0.749
0.905 0.598 0.421
0.191 0.790 0.186
0.443 0.289 0.186
0.693 0.789 0.186
0.940 0.290 0.186
0.096 0.391 0.597
0.345 0.893 0.595
0.595 0.391 0.595
0.846 0.893 0.598
0.058 0.538 0.175
0.078 0.887 0.583
0.132 0.740 0.989
0.178 0.445 0.780
0.197 0.295 0.195
0.223 0.654 0.576
0.241 0.837 0.365
0.314 0.036 0.174
0.323 0.386 0.567
0.347 0.239 0.990
0.426 0.950 0.778
0.441 0.786 0.191
0.462 0.138 0.573
0.533 0.332 0.364
0.567 0.536 0.173
0.597 0.885 0.570
0.604 0.742 0.990
0.653 0.430 0.779
0.679 0.280 0.155
0.702 0.620 0.575
0.775 0.829 0.364
0.812 0.038 0.178
0.854 0.391 0.585
0.889 0.242 0.990
0.902 0.927 0.781
0.934 0.787 0.160
0.963 0.137 0.576
0.986 0.339 0.363
```